w | The following is a GGA-PBE calculation of an optimized crystal structure of RbReSeN2, from Alexandria via LeMat-Bulk.

Summary:
DOS(E_F)   2.612 states/eV/cell

a b c (Å): 4.0526 4.0526 5.2060
angles (deg): 90.00 90.00 90.00
Closest atoms and distances in Å follow each position.
Fractional positions:
N 0.5000 0.0000 0.0000  2 Re 2.03
N 0.0000 0.5000 0.0000  2 Re 2.03
Rb 0.5000 0.5000 0.5000  4 Se 2.87
Re 0.0000 0.0000 0.0000  4 N 2.03
Se 0.0000 0.0000 0.5000  2 Re 2.60, 4 Rb 2.87



x | The following is a GGA-PBE calculation of an optimized crystal structure of RbReSeN2, from Alexandria via LeMat-Bulk.

Summary:
DOS(E_F)   9.943 states/eV/cell

a b c (Å): 4.0223 4.0223 5.9206
angles (deg): 90.00 90.00 90.00
Closest atoms and distances in Å follow each position.
Fractional positions:
Se 0.0000 0.0000 0.5000  4 Re 2.84, 2 Rb 2.96
Re 0.5000 0.5000 0.5000  4 Se 2.84
Rb 0.0000 0.0000 0.0000  4 N 2.01
N 0.5000 0.0000 0.0000  2 Rb 2.01
N 0.0000 0.5000 0.0000  2 Rb 2.01



Tell me which of them is the least stable. Sure, it is x.



w | The following is a GGA-PBE calculation of an optimized crystal structure of RbRhN2, from Alexandria via LeMat-Bulk.

Summary:
DOS(E_F)   3.071 states/eV/cell

a b c (Å): 6.9900 6.9900 6.9900
angles (deg): 27.77 27.77 27.77
Closest atoms and distances in Å follow each position.
Fractional positions:
N 0.8716 0.8716 0.8716  3 Rh 2.08
N 0.1284 0.1284 0.1284  3 Rh 2.08
Rh 0.5000 0.5000 0.5000  6 N 2.08
Rb 0.0000 0.0000 0.0000  2 N 2.59



x | The following is a GGA-PBE calculation of an optimized crystal structure of RbRhN2, from Alexandria via LeMat-Bulk.

Summary:
DOS(E_F)   10.987 states/eV/cell

a b c (Å): 6.0235 6.0235 5.8114
angles (deg): 58.78 58.78 90.00
Closest atoms and distances in Å follow each position.
Fractional positions:
Rh 0.0000 0.0000 0.0000  4 N 1.91
Rh 0.7500 0.2500 0.5000  4 N 1.91
Rb 0.5000 0.5000 0.0000  4 N 2.97
Rb 0.2500 0.7500 0.5000  4 N 2.97
N 0.9823 0.6250 0.2500  2 Rh 1.91
N 0.3750 0.2323 0.7500  2 Rh 1.91
N 0.7677 0.1250 0.2500  2 Rh 1.91
N 0.8750 0.0177 0.7500  2 Rh 1.91



Tell me which of them is the least stable. Sure, it is w.